VASP calculation (PBE) on crystalline AlTe2Pd8 at its relaxed geometry.

```
11
Lattice="7.149 -2.153 0.000 7.149 2.153 0.000 -2.752 0.000 6.061" Properties=species:S:1:pos:R:3 pbc="T T T"
Al 0.000 0.000 0.000
Te 3.750 0.000 2.013
Te 7.796 0.000 4.048
Pd 0.030 0.000 2.609
Pd -0.183 0.000 5.703
Pd 2.534 0.000 4.434
Pd 6.235 0.000 1.103
Pd 5.310 0.000 4.958
Pd 9.012 0.000 1.627
Pd 11.728 0.000 0.358
Pd 11.515 0.000 3.452
```

SG = C2/m
Energy above the lowest structure with this stoichiometry = 0.0 meV/atom
Spin magnetization = 0.000 μB/atom
Calculated volume = 16.958 Å³/atom
Formation energy from raw total energies = -405 meV per atom
Crystal system = monoclinic